A geometry-optimized K3FeN structure. Source: Alexandria via LeMat-Bulk, functional PBE.

It has space group Pm-3m (No. 221), with a = 6.1629 Å, b = 6.1629 Å, c = 6.1629 Å, α = 90.00°, β = 90.00° and γ = 90.00°. The inequivalent atoms are K at (0.0000, 0.0000, 0.5000), Fe at (0.0000, 0.0000, 0.0000) and N at (0.5000, 0.5000, 0.5000).

=====

A geometry-optimized Rb3PrNd2S6 structure. Source: Alexandria via LeMat-Bulk, functional PBE.

It has space group C2/m (No. 12), with a = 7.3373 Å, b = 12.7098 Å, c = 8.0992 Å, α = 90.00°, β = 107.56° and γ = 90.00°. The inequivalent atoms are Rb at (0.0000, 0.0000, 0.0000), Rb at (0.0000, 0.3333, 0.0000), Pr at (0.0000, 0.5000, 0.5000), Nd at (0.0000, 0.1667, 0.5000), S at (0.2308, 0.0000, 0.6978) and S at (0.2335, 0.3325, 0.6978).

=====

no.,E_form (uncorrected) (meV/atom)
1,1581
2,-1822